[1]
The following is a PBE calculation of crystalline Li2BeN at its relaxed geometry, from Alexandria via LeMat-Bulk.

Cell: 5.2188 5.2188 5.2188 Å, 90.00 90.00 90.00°
Last column: nearest neighbours and their distance in Å.
Fractional coordinates of all 16 atoms:
Li1 0.2500 0.2500 0.2500  4 Be 2.26, 4 N 2.26
Li2 0.2500 0.2500 0.7500  4 Be 2.26, 4 N 2.26
Li3 0.2500 0.7500 0.2500  4 Be 2.26, 4 N 2.26
Li4 0.2500 0.7500 0.7500  4 N 2.26, 4 Be 2.26
Li5 0.7500 0.2500 0.2500  4 Be 2.26, 4 N 2.26
Li6 0.7500 0.2500 0.7500  4 N 2.26, 4 Be 2.26
Li7 0.7500 0.7500 0.2500  4 N 2.26, 4 Be 2.26
Li8 0.7500 0.7500 0.7500  4 Be 2.26, 4 N 2.26
Be1 0.0000 0.0000 0.0000  8 Li 2.26
Be2 0.0000 0.5000 0.5000  8 Li 2.26
Be3 0.5000 0.0000 0.5000  8 Li 2.26
Be4 0.5000 0.5000 0.0000  8 Li 2.26
N1 0.0000 0.0000 0.5000  8 Li 2.26
N2 0.0000 0.5000 0.0000  8 Li 2.26
N3 0.5000 0.0000 0.0000  8 Li 2.26
N4 0.5000 0.5000 0.5000  8 Li 2.26

## Properties
energy above the lowest structure with this stoichiometry: 18 meV per atom
formation energy (no corrections): 48.58 kJ/mol of atoms
DOS at the Fermi energy: 0.289 states/eV/atom
total DFT energy (no corrections): -3.466 eV per atom

***

[2]
The following is a PBE calculation of crystalline Be2Al2Mo at its relaxed geometry, from Alexandria via LeMat-Bulk.

Cell: 3.5650 3.5650 9.8726 Å, 90.00 90.00 90.00°
Last column: nearest neighbours and their distance in Å.
Fractional coordinates of all 10 atoms:
Be1 0.0000 0.0000 0.0955  1 Be 1.89
Be2 0.0000 0.0000 0.9045  1 Be 1.89
Be3 0.5000 0.5000 0.4045  1 Be 1.89
Be4 0.5000 0.5000 0.5955  1 Be 1.89
Al1 0.0000 0.5000 0.2500  4 Be 2.35, 4 Al 2.52
Al2 0.0000 0.5000 0.7500  4 Be 2.35, 4 Al 2.52
Al3 0.5000 0.0000 0.2500  4 Be 2.35, 4 Al 2.52
Al4 0.5000 0.0000 0.7500  4 Be 2.35, 4 Al 2.52
Mo1 0.0000 0.0000 0.5000  8 Be 2.69
Mo2 0.5000 0.5000 0.0000  8 Be 2.69

## Properties
energy above the lowest structure with this stoichiometry: 164 meV per atom
DOS at the Fermi energy: 0.362 states/eV/atom
total DFT energy (no corrections): -4.969 eV per atom
ΔH_f (0 K): 0.184 eV/atom

***

[3]
The following is a PBE calculation of crystalline SrPBr at its relaxed geometry, from Alexandria via LeMat-Bulk.

Cell: 4.3032 6.1071 8.7855 Å, 109.15 92.01 90.16°
Last column: nearest neighbours and their distance in Å.
Fractional coordinates of all 6 atoms:
Sr1 0.2380 0.1602 0.3076  3 P 2.97-3.08, 4 Br 3.16-3.18
Sr2 0.7620 0.8398 0.6924  3 P 2.97-3.08, 4 Br 3.16-3.18
P1 0.2811 0.9210 0.9554  1 P 2.12
P2 0.7189 0.0790 0.0446  1 P 2.12
Br1 0.2441 0.7099 0.4128  4 Sr 3.16-3.18
Br2 0.7559 0.2901 0.5872  4 Sr 3.16-3.18

## Properties
energy above the lowest structure with this stoichiometry: 0 meV per atom
formation energy (no corrections): -123.01 kJ/mol of atoms
DOS at the Fermi energy: 0.065 states/eV/atom
total DFT energy (no corrections): -4.196 eV per atom

***

[4]
The following is a PBE calculation of crystalline Tc2SbPdAu at its relaxed geometry, from Alexandria via LeMat-Bulk.

Cell: 4.9717 4.9717 5.0286 Å, 90.00 90.00 90.00°
Last column: nearest neighbours and their distance in Å.
Fractional coordinates of all 5 atoms:
Tc1 0.0000 0.5000 0.0000  2 Sb 2.49
Tc2 0.5000 0.0000 0.0000  2 Sb 2.49
Sb1 0.0000 0.0000 0.0000  4 Tc 2.49, 2 Au 2.51
Pd1 0.5000 0.5000 0.5000  4 Au 3.52, 8 Tc 3.54
Au1 0.0000 0.0000 0.5000  2 Sb 2.51

## Properties
formation energy (no corrections): 160.37 kJ/mol of atoms
DOS at the Fermi energy: 0.959 states/eV/atom
total DFT energy (no corrections): -5.003 eV per atom

***

[5]
The following is a PBE calculation of crystalline Ba2ScTl at its relaxed geometry, from Alexandria via LeMat-Bulk.

Cell: 9.6767 9.6767 6.9038 Å, 90.00 90.00 90.00°
Last column: nearest neighbours and their distance in Å.
Fractional coordinates of all 16 atoms:
Ba1 0.2275 0.2500 0.1250  2 Tl 3.38, 2 Ba 3.48, 2 Sc 3.68
Ba2 0.2500 0.7275 0.3750  2 Tl 3.38, 2 Ba 3.48, 2 Sc 3.68
Ba3 0.2500 0.7725 0.8750  2 Tl 3.38, 2 Ba 3.48, 2 Sc 3.68
Ba4 0.2725 0.2500 0.6250  2 Tl 3.38, 2 Ba 3.48, 2 Sc 3.68
Ba5 0.7275 0.7500 0.6250  2 Tl 3.38, 2 Ba 3.48, 2 Sc 3.68
Ba6 0.7500 0.2275 0.8750  2 Tl 3.38, 2 Ba 3.48, 2 Sc 3.68
Ba7 0.7500 0.2725 0.3750  2 Tl 3.38, 2 Ba 3.48, 2 Sc 3.68
Ba8 0.7725 0.7500 0.1250  2 Tl 3.38, 2 Ba 3.48, 2 Sc 3.68
Sc1 0.0000 0.0000 0.5000  2 Tl 3.45, 4 Ba 3.68
Sc2 0.0000 0.5000 0.7500  2 Tl 3.45, 4 Ba 3.68
Sc3 0.5000 0.0000 0.2500  2 Tl 3.45, 4 Ba 3.68
Sc4 0.5000 0.5000 0.0000  2 Tl 3.45, 4 Ba 3.68
Tl1 0.0000 0.0000 0.0000  4 Ba 3.38, 2 Sc 3.45
Tl2 0.0000 0.5000 0.2500  4 Ba 3.38, 2 Sc 3.45
Tl3 0.5000 0.0000 0.7500  4 Ba 3.38, 2 Sc 3.45
Tl4 0.5000 0.5000 0.5000  4 Ba 3.38, 2 Sc 3.45

## Properties
energy above the lowest structure with this stoichiometry: 345 meV per atom
DOS at the Fermi energy: 1.110 states/eV/atom
total DFT energy (no corrections): -2.841 eV per atom
ΔH_f (0 K): 0.294 eV/atom

***

[6]
The following is a PBE calculation of crystalline AcGa2Pd3 at its relaxed geometry, from Alexandria via LeMat-Bulk.

Cell: 8.1064 8.1064 7.8124 Å, 114.17 114.17 31.68°
Last column: nearest neighbours and their distance in Å.
Fractional coordinates of all 12 atoms:
Ac1 0.1591 0.1591 0.0976  8 Pd 3.19-3.55, 6 Ga 3.40-3.45
Ac2 0.8409 0.8409 0.9024  8 Pd 3.19-3.55, 6 Ga 3.40-3.45
Ga1 0.1679 0.1679 0.6264  6 Pd 2.53-2.74
Ga2 0.4852 0.4852 0.8216  4 Pd 2.50-2.53, 1 Ga 2.62
Ga3 0.5148 0.5148 0.1784  4 Pd 2.50-2.53, 1 Ga 2.62
Ga4 0.8321 0.8321 0.3736  6 Pd 2.53-2.74
Pd1 0.0130 0.0130 0.3328  3 Ga 2.53, 1 Pd 2.81
Pd2 0.3182 0.3182 0.5662  4 Ga 2.52-2.74, 1 Pd 2.80
Pd3 0.3852 0.3852 0.2859  3 Ga 2.50-2.56
Pd4 0.6148 0.6148 0.7141  3 Ga 2.50-2.56
Pd5 0.6818 0.6818 0.4338  4 Ga 2.52-2.74, 1 Pd 2.80
Pd6 0.9870 0.9870 0.6672  3 Ga 2.53, 1 Pd 2.81

## Properties
energy above the lowest structure with this stoichiometry: 90 meV per atom
DOS at the Fermi energy: 0.530 states/eV/atom
total DFT energy (no corrections): -5.003 eV per atom
ΔH_f (0 K): -0.712 eV/atom